(1)
# Sr3Si5Se12

A geometry-optimized Sr3Si5Se12 structure (PBE-GGA, Alexandria).

Geometry as CIF:
```
data_Sr3Si5Se12
_symmetry_space_group_name_H-M 'I a -3 d'
_symmetry_Int_Tables_number 230
_symmetry_space_group_name_Hall '-I 4bd 2c 3'
_cell_length_a 16.058
_cell_length_b 16.058
_cell_length_c 16.058
_cell_angle_alpha 90.00
_cell_angle_beta 90.00
_cell_angle_gamma 90.00
loop_
_atom_site_label
_atom_site_type_symbol
_atom_site_fract_x
_atom_site_fract_y
_atom_site_fract_z
_atom_site_occupancy
Sr1 Sr 0.000 0.250 0.125 1
Si1 Si 0.000 0.000 0.000 1
Si2 Si 0.000 0.250 0.375 1
Se1 Se 0.034 0.054 0.650 1
```

Results
Crystal system: cubic
Electronic total energy: -4.466 eV/atom
Energy relative to the elements, uncorrected: -0.77 eV per atom



(2)
# SrSiSe2

A geometry-optimized SrSiSe2 structure (PBE-GGA, Alexandria).

Geometry as CIF:
```
data_SrSiSe2
_symmetry_space_group_name_H-M 'P 1 m 1'
_symmetry_Int_Tables_number 6
_symmetry_space_group_name_Hall 'P -2y'
_cell_length_a 4.167
_cell_length_b 4.925
_cell_length_c 5.939
_cell_angle_alpha 90.00
_cell_angle_beta 110.22
_cell_angle_gamma 90.00
loop_
_atom_site_label
_atom_site_type_symbol
_atom_site_fract_x
_atom_site_fract_y
_atom_site_fract_z
_atom_site_occupancy
Sr1 Sr 0.000 0.000 0.000 1
Si1 Si 0.331 0.500 0.655 1
Se1 Se 0.288 0.000 0.569 1
Se2 Se 0.538 0.500 0.077 1
```

Results
Crystal system: monoclinic
Electronic total energy: -4.419 eV/atom
Energy relative to the elements, uncorrected: -0.90 eV per atom



(3)
# SrSiSe2

A geometry-optimized SrSiSe2 structure (PBE-GGA, Alexandria).

Geometry as CIF:
```
data_SrSiSe2
_symmetry_space_group_name_H-M 'I -4 2 d'
_symmetry_Int_Tables_number 122
_symmetry_space_group_name_Hall 'I -4 2bw'
_cell_length_a 6.209
_cell_length_b 6.209
_cell_length_c 14.061
_cell_angle_alpha 90.00
_cell_angle_beta 90.00
_cell_angle_gamma 90.00
loop_
_atom_site_label
_atom_site_type_symbol
_atom_site_fract_x
_atom_site_fract_y
_atom_site_fract_z
_atom_site_occupancy
Sr1 Sr 0.000 0.000 0.000 1
Si1 Si 0.000 0.000 0.500 1
Se1 Se 0.188 0.250 0.625 1
```

Results
Crystal system: tetragonal
Electronic total energy: -4.232 eV/atom
Energy relative to the elements, uncorrected: -0.71 eV per atom



(4)
# SrSiSe2

A geometry-optimized SrSiSe2 structure (PBE-GGA, Alexandria).

Geometry as CIF:
```
data_SrSiSe2
_symmetry_space_group_name_H-M 'C m m m'
_symmetry_Int_Tables_number 65
_symmetry_space_group_name_Hall '-C 2 2'
_cell_length_a 7.129
_cell_length_b 7.142
_cell_length_c 3.732
_cell_angle_alpha 90.00
_cell_angle_beta 90.00
_cell_angle_gamma 90.00
loop_
_atom_site_label
_atom_site_type_symbol
_atom_site_fract_x
_atom_site_fract_y
_atom_site_fract_z
_atom_site_occupancy
Sr1 Sr 0.000 0.000 0.000 1
Si1 Si 0.000 0.500 0.000 1
Se1 Se 0.250 0.250 0.500 1
```

Results
Crystal system: orthorhombic
Electronic total energy: -4.126 eV/atom
Energy relative to the elements, uncorrected: -0.61 eV per atom



(5)
# SrSi4Se

A geometry-optimized SrSi4Se structure (PBE-GGA, Alexandria).

Geometry as CIF:
```
data_SrSi4Se
_symmetry_space_group_name_H-M 'F -4 3 m'
_symmetry_Int_Tables_number 216
_symmetry_space_group_name_Hall 'F -4 2 3'
_cell_length_a 7.668
_cell_length_b 7.668
_cell_length_c 7.668
_cell_angle_alpha 90.00
_cell_angle_beta 90.00
_cell_angle_gamma 90.00
loop_
_atom_site_label
_atom_site_type_symbol
_atom_site_fract_x
_atom_site_fract_y
_atom_site_fract_z
_atom_site_occupancy
Sr1 Sr 0.000 0.000 0.000 1
Si1 Si 0.125 0.125 0.375 1
Se1 Se 0.250 0.250 0.750 1
```

Results
Crystal system: cubic
Electronic total energy: -4.408 eV/atom
Energy relative to the elements, uncorrected: 0.07 eV per atom



(6)
# SrTaSi2Se8

A geometry-optimized SrTaSi2Se8 structure (PBE-GGA, Alexandria).

Geometry as CIF:
```
data_SrTaSi2Se8
_symmetry_space_group_name_H-M 'P -3'
_symmetry_Int_Tables_number 147
_symmetry_space_group_name_Hall '-P 3'
_cell_length_a 6.3572
_cell_length_b 6.3572
_cell_length_c 8.9267
_cell_angle_alpha 90.00
_cell_angle_beta 90.00
_cell_angle_gamma 120.00
loop_
_atom_site_label
_atom_site_type_symbol
_atom_site_fract_x
_atom_site_fract_y
_atom_site_fract_z
_atom_site_occupancy
Sr1 Sr 0.0000 0.0000 0.0000 1
Ta1 Ta 0.0000 0.0000 0.5000 1
Si1 Si 0.3333 0.6667 0.7381 1
Se1 Se 0.0196 0.6846 0.3280 1
Se2 Se 0.3333 0.6667 0.9912 1
```

Results
Crystal system: trigonal
Electronic total energy: -4.955 eV/atom
Energy relative to the elements, uncorrected: -0.60 eV per atom